# ZrCuOs2

ZrCuOs2 after structural relaxation (PBE, Alexandria via LeMat-Bulk).

Properties
Spin magnetization ... 0.0 μB/f.u.
Space group ... R-3m, No. 166
Energy relative to the lowest polymorph listed for this composition ... 1.28 eV per formula unit
Energy relative to the elements ... 321 meV per atom
Uncorrected energy ... -8.45 eV/atom

a b c (Å): 9.4199 9.4199 9.4199
angles (deg): 16.95 16.95 16.95
Closest atoms and distances in Å follow each position.
Positions (direct):
Zr1 0.0000 0.0000 0.0000  6 Zr 2.78, 6 Os 2.98
Cu1 0.5000 0.5000 0.5000  6 Os 2.66, 6 Cu 2.78
Os1 0.2429 0.2429 0.2429  3 Cu 2.66, 6 Os 2.78
Os2 0.7571 0.7571 0.7571  3 Cu 2.66, 6 Os 2.78



# Zr2CuOs

Zr2CuOs after structural relaxation (PBE, Alexandria via LeMat-Bulk).

Properties
Spin magnetization ... 0.0 μB/f.u.
Space group ... R-3m, No. 166
Energy relative to the elements ... 41 meV per atom
Uncorrected energy ... -8.07 eV/atom

a b c (Å): 8.2443 8.2443 8.2443
angles (deg): 23.07 23.07 23.07
Closest atoms and distances in Å follow each position.
Positions (direct):
Zr1 0.2490 0.2490 0.2490  3 Os 2.75, 3 Cu 2.78
Zr2 0.7510 0.7510 0.7510  3 Os 2.75, 3 Cu 2.78
Cu1 0.0000 0.0000 0.0000  6 Zr 2.78
Os1 0.5000 0.5000 0.5000  6 Zr 2.75



# ZrCu2Os

ZrCu2Os after structural relaxation (PBE, Alexandria via LeMat-Bulk).

Properties
Spin magnetization ... 0.0 μB/f.u.
Space group ... P4mm, No. 99
Energy relative to the lowest polymorph listed for this composition ... 0.23 eV per formula unit
Energy relative to the elements ... -26 meV per atom
Uncorrected energy ... -7.02 eV/atom

a b c (Å): 3.2986 3.2986 5.6573
angles (deg): 90.00 90.00 90.00
Closest atoms and distances in Å follow each position.
Positions (direct):
Zr1 0.0000 0.0000 0.0000  4 Os 2.73, 6 Cu 2.78-2.88
Cu1 0.0000 0.0000 0.4916  4 Cu 2.59, 4 Os 2.75, 2 Zr 2.78-2.88
Cu2 0.5000 0.5000 0.2916  4 Cu 2.59, 1 Os 2.59, 4 Zr 2.86
Os1 0.5000 0.5000 0.7502  5 Cu 2.59-2.75, 4 Zr 2.73